Compound: Au3BrO
Source: Alexandria
Functional: GGA-PBE
Structure: optimized geometry

The space group is Pm-3m (No. 221) and the conventional cell measures 4.609, 4.609 and 4.609 Å, with angles of 90.00, 90.00 and 90.00 degrees. The distinct sites, in fractional coordinates, are Au at (0.000, 0.000, 0.500), Br at (0.500, 0.500, 0.500) and O at (0.000, 0.000, 0.000).

Its volume is 97.9 Å³/cell. As for the size of the total moment: 0.000 μB per formula unit. As for the energy above the lowest structure with this stoichiometry: 0 meV per atom. The uncorrected formation energy is 0.4676 eV/atom. Its density of states at the Fermi level is 0.889 states/eV per atom.